Entry 1:
Below is crystalline K4Bi2Sb2Au at its relaxed geometry, with properties calculated at the PBE-GGA level.

Cell: 7.8646 7.8646 6.9896 Å, 100.31 100.31 50.07°
Element x y z (fractional)
K  0.1122  0.6174  0.7697
K  0.3826  0.8878  0.2303
K  0.6174  0.1122  0.7697
K  0.8878  0.3826  0.2303
Bi  0.4097  0.4097  0.3185
Bi  0.5903  0.5903  0.6815
Sb  0.1468  0.1468  0.7847
Sb  0.8532  0.8532  0.2153
Au  0.0000  0.0000  0.5000

Results
Total DFT energy (no corrections) ... -2.924 eV/atom

=====

Entry 2:
Below is crystalline Re2Os at its relaxed geometry, with properties calculated at the PBE-GGA level.

Cell: 5.0884 5.0884 5.0884 Å, 60.00 60.00 60.00°
Element x y z (fractional)
Re  0.0000  0.0000  0.0000
Re  0.0000  0.0000  0.5000
Re  0.0000  0.5000  0.0000
Re  0.5000  0.0000  0.0000
Os  0.3750  0.3750  0.3750
Os  0.6250  0.6250  0.6250

Results
E_form ... 0.5494 eV/atom
Total DFT energy (no corrections) ... -11.493 eV/atom
Excess energy over the best structure of this formula in the dataset ... 623.6 meV/atom

=====

Entry 3:
Below is crystalline Er10Te3Pb3 at its relaxed geometry, with properties calculated at the PBE-GGA level.

Cell: 8.9923 8.9923 6.2746 Å, 90.00 90.00 120.00°
Element x y z (fractional)
Er  0.0000  0.2422  0.0000
Er  0.0000  0.7543  0.5000
Er  0.2422  0.0000  0.0000
Er  0.2457  0.2457  0.5000
Er  0.3333  0.6667  0.2510
Er  0.3333  0.6667  0.7490
Er  0.6667  0.3333  0.2510
Er  0.6667  0.3333  0.7490
Er  0.7543  0.0000  0.5000
Er  0.7578  0.7578  0.0000
Te  0.0000  0.3855  0.5000
Te  0.3855  0.0000  0.5000
Te  0.6145  0.6145  0.5000
Pb  0.0000  0.6083  0.0000
Pb  0.3917  0.3917  0.0000
Pb  0.6083  0.0000  0.0000

Results
Total DFT energy (no corrections) ... -4.837 eV/atom

=====

Look up the total DFT energy (no corrections) of the second one. -11.493 eV/atom

=====

Which of these has the lowest total DFT energy (no corrections)? Re2Os

=====

The lowest total DFT energy (no corrections) belongs to which entry? Re2Os

=====

What is the total DFT energy (no corrections) in the first record? -2.924 eV/atom